(1)
First-principles (PBE) data for an optimized crystal structure of Ca2GdSn, as listed in Alexandria.

```
Ca2GdSn
1.0
1.8234 1.0527 11.8313
-1.8234 1.0527 11.8313
0.0000 -2.1054 11.8313
Ca Gd Sn
2 1 1
Direct
0.0971 0.0971 0.0971
0.9029 0.9029 0.9029
0.0000 0.0000 0.0000
0.5000 0.5000 0.5000
```

Results
N(E_F), states/eV/atom: 1.24
Formation energy from the elements, eV/f.u.: -0.25
Total energy, eV/cell: -22.34

---

(2)
First-principles (PBE) data for an optimized crystal structure of CaGdSn, as listed in Alexandria.

```
CaGdSn
1.0
-1.7836 1.7836 7.2849
1.7836 -1.7836 7.2849
1.7836 1.7836 -7.2849
Ca Gd Sn
1 1 1
Direct
0.0000 0.0000 0.0000
0.2928 0.2928 0.0000
0.6493 0.6493 0.0000
```

Results
N(E_F), states/eV/atom: 1.14
Formation energy from the elements, eV/f.u.: -1.29
Total energy, eV/cell: -21.37

---

(3)
First-principles (PBE) data for an optimized crystal structure of Ca2GdSn, as listed in Alexandria.

```
Ca2GdSn
1.0
4.8782 0.0000 0.0000
0.0000 4.8782 0.0000
0.0000 0.0000 5.1441
Ca Gd Sn
2 1 1
Direct
0.0000 0.5000 0.0000
0.5000 0.0000 0.0000
0.0000 0.0000 0.5000
0.5000 0.5000 0.5000
```

Results
N(E_F), states/eV/atom: 1.25
Formation energy from the elements, eV/f.u.: -1.55
Total energy, eV/cell: -23.64

---

(4)
First-principles (PBE) data for an optimized crystal structure of CaGdSn, as listed in Alexandria.

```
CaGdSn
1.0
0.0000 3.7183 3.7183
3.7183 0.0000 3.7183
3.7183 3.7183 0.0000
Ca Gd Sn
1 1 1
Direct
0.0000 0.0000 0.0000
0.5000 0.5000 0.5000
0.2500 0.2500 0.2500
```

Results
N(E_F), states/eV/atom: 1.74
Formation energy from the elements, eV/f.u.: -1.41
Total energy, eV/cell: -21.50

---

(5)
First-principles (PBE) data for an optimized crystal structure of CaGdSn2, as listed in Alexandria.

```
CaGdSn2
1.0
4.9949 0.0000 0.0000
0.0000 4.9949 0.0000
0.0000 0.0000 4.4252
Ca Gd Sn
1 1 2
Direct
0.0000 0.0000 0.0000
0.5000 0.5000 0.0000
0.0000 0.5000 0.5000
0.5000 0.0000 0.5000
```

Results
N(E_F), states/eV/atom: 0.64
Formation energy from the elements, eV/f.u.: -2.52
Total energy, eV/cell: -26.61

---

(6)
First-principles (PBE) data for an optimized crystal structure of CaGdSn2, as listed in Alexandria.

```
CaGdSn2
1.0
3.4797 0.0000 0.0000
0.0000 3.4797 0.0000
0.0000 0.0000 9.0637
Ca Gd Sn
1 1 2
Direct
0.0000 0.0000 0.0000
0.0000 0.0000 0.5000
0.5000 0.5000 0.2526
0.5000 0.5000 0.7474
```

Results
N(E_F), states/eV/atom: 0.52
Formation energy from the elements, eV/f.u.: -2.65
Total energy, eV/cell: -26.74

---

(7)
First-principles (PBE) data for an optimized crystal structure of CaGdSn4, as listed in Alexandria.

```
CaGdSn4
1.0
0.0000 4.4075 4.4075
4.4075 0.0000 4.4075
4.4075 4.4075 0.0000
Ca Gd Sn
1 1 4
Direct
0.0000 0.0000 0.0000
0.7500 0.7500 0.7500
0.3751 0.3751 0.3751
0.3751 0.3751 0.8747
0.3751 0.8747 0.3751
0.8747 0.3751 0.3751
```

Results
N(E_F), states/eV/atom: 1.38
Formation energy from the elements, eV/f.u.: -2.04
Total energy, eV/cell: -34.13

---

(8)
First-principles (PBE) data for an optimized crystal structure of CaGdTlSn, as listed in Alexandria.

```
CaGdTlSn
1.0
0.0000 3.8451 3.8451
3.8451 0.0000 3.8451
3.8451 3.8451 0.0000
Ca Gd Tl Sn
1 1 1 1
Direct
0.0000 0.0000 0.0000
0.5000 0.5000 0.5000
0.7500 0.7500 0.7500
0.2500 0.2500 0.2500
```

Results
N(E_F), states/eV/atom: 0.68
Formation energy from the elements, eV/f.u.: -2.02
Total energy, eV/cell: -24.47

---

(9)
First-principles (PBE) data for an optimized crystal structure of Sr2CaGd, as listed in Alexandria.

```
Sr2CaGd
1.0
3.9604 0.0000 0.0000
0.0000 3.9604 0.0000
0.0000 0.0000 11.3945
Sr Ca Gd
2 1 1
Direct
0.0000 0.0000 0.2382
0.0000 0.0000 0.7618
0.5000 0.5000 0.5000
0.5000 0.5000 0.0000
```

Results
N(E_F), states/eV/atom: 1.81
Formation energy from the elements, eV/f.u.: 0.46
Total energy, eV/cell: -18.99

---

(10)
First-principles (PBE) data for an optimized crystal structure of SrCaGd, as listed in Alexandria.

```
SrCaGd
1.0
-1.9403 1.9403 8.3396
1.9403 -1.9403 8.3396
1.9403 1.9403 -8.3396
Sr Ca Gd
1 1 1
Direct
0.0000 0.0000 0.0000
0.6834 0.6834 0.0000
0.3337 0.3337 0.0000
```

Results
N(E_F), states/eV/atom: 2.23
Formation energy from the elements, eV/f.u.: 0.36
Total energy, eV/cell: -17.40

---

(11)
First-principles (PBE) data for an optimized crystal structure of SrCaGd2, as listed in Alexandria.

```
SrCaGd2
1.0
4.1280 0.0000 0.0000
0.0000 4.1280 0.0000
0.0000 0.0000 9.1936
Sr Ca Gd
1 1 2
Direct
0.0000 0.0000 0.0000
0.0000 0.0000 0.5000
0.5000 0.5000 0.2835
0.5000 0.5000 0.7165
```

Results
N(E_F), states/eV/atom: 2.49
Formation energy from the elements, eV/f.u.: 0.81
Total energy, eV/cell: -31.03

---

(12)
First-principles (PBE) data for an optimized crystal structure of Sr2CaGd, as listed in Alexandria.

```
Sr2CaGd
1.0
6.3514 0.0000 0.0000
0.0000 6.3514 0.0000
0.0000 0.0000 4.3577
Sr Ca Gd
2 1 1
Direct
0.0000 0.5000 0.0000
0.5000 0.0000 0.0000
0.0000 0.0000 0.5000
0.5000 0.5000 0.5000
```

Results
N(E_F), states/eV/atom: 1.90
Formation energy from the elements, eV/f.u.: 0.63
Total energy, eV/cell: -18.81

---

(13)
First-principles (PBE) data for an optimized crystal structure of SrCa2Gd, as listed in Alexandria.

```
SrCa2Gd
1.0
6.2650 0.0000 0.0000
0.0000 6.2650 0.0000
0.0000 0.0000 4.2313
Sr Ca Gd
1 2 1
Direct
0.0000 0.0000 0.0000
0.0000 0.5000 0.5000
0.5000 0.0000 0.5000
0.5000 0.5000 0.0000
```

Results
N(E_F), states/eV/atom: 2.17
Formation energy from the elements, eV/f.u.: 0.51
Total energy, eV/cell: -19.25

---

(14)
First-principles (PBE) data for an optimized crystal structure of SrCa2Gd, as listed in Alexandria.

```
SrCa2Gd
1.0
1.8855 1.0886 13.6911
-1.8855 1.0886 13.6911
0.0000 -2.1772 13.6911
Sr Ca Gd
1 2 1
Direct
0.0000 0.0000 0.0000
0.4157 0.4157 0.4157
0.5843 0.5843 0.5843
0.5000 0.5000 0.5000
```

Results
N(E_F), states/eV/atom: 1.98
Formation energy from the elements, eV/f.u.: 1.00
Total energy, eV/cell: -18.77

---

(15)
First-principles (PBE) data for an optimized crystal structure of SrCaGd2, as listed in Alexandria.

```
SrCaGd2
1.0
1.8466 1.0661 13.2496
-1.8466 1.0661 13.2496
0.0000 -2.1322 13.2496
Sr Ca Gd
1 1 2
Direct
0.0000 0.0000 0.0000
0.5000 0.5000 0.5000
0.0892 0.0892 0.0892
0.9108 0.9108 0.9108
```

Results
N(E_F), states/eV/atom: 2.18
Formation energy from the elements, eV/f.u.: 1.08
Total energy, eV/cell: -30.77

---

(16)
First-principles (PBE) data for an optimized crystal structure of SrCa2Gd, as listed in Alexandria.

```
SrCa2Gd
1.0
0.0000 4.3618 4.3618
4.3618 0.0000 4.3618
4.3618 4.3618 0.0000
Sr Ca Gd
1 2 1
Direct
0.0000 0.0000 0.0000
0.2500 0.2500 0.2500
0.7500 0.7500 0.7500
0.5000 0.5000 0.5000
```

Results
N(E_F), states/eV/atom: 2.23
Formation energy from the elements, eV/f.u.: 0.54
Total energy, eV/cell: -19.22